# Y3Zn3Ru2, relaxed, DFT GGA-PBE
data_Y3Zn3Ru2
_chemical_formula_sum 'Y6 Zn6 Ru4'
_cell_length_a 4.389
_cell_length_b 5.468
_cell_length_c 14.873
_cell_angle_alpha 90.00
_cell_angle_beta 90.00
_cell_angle_gamma 113.66
_symmetry_space_group_name_H-M 'P 1'
_symmetry_Int_Tables_number 1
_symmetry_space_group_name_Hall 'P 1'
loop_
_atom_site_label
_atom_site_fract_x
_atom_site_fract_y
_atom_site_fract_z
_atom_site_occupancy
Y1 0.911 0.823 0.396 1
Y2 0.089 0.177 0.896 1
Y3 0.911 0.823 0.104 1
Y4 0.089 0.177 0.604 1
Y5 0.629 0.258 0.250 1
Y6 0.371 0.742 0.750 1
Zn1 0.618 0.235 0.459 1
Zn2 0.382 0.765 0.959 1
Zn3 0.618 0.235 0.041 1
Zn4 0.382 0.765 0.541 1
Zn5 0.327 0.654 0.250 1
Zn6 0.673 0.346 0.750 1
Ru1 0.787 0.574 0.903 1
Ru2 0.213 0.426 0.403 1
Ru3 0.787 0.574 0.597 1
Ru4 0.213 0.426 0.097 1
# Calculated volume   20.4 Å³ per atom
# Calculated formation energy   -0.33 eV per atom
# Calculated density   6.8 g cm⁻³
# Spin magnetization   0.0000 μB/atom
# Total DFT energy (no corrections)   -44.42 eV/f.u.